# Tc2RhW (PBE-GGA, optimized geometry)
data_Tc2RhW
_chemical_formula_sum 'Tc2 Rh1 W1'
_cell_length_a 3.873
_cell_length_b 3.873
_cell_length_c 3.947
_cell_angle_alpha 90.00
_cell_angle_beta 90.00
_cell_angle_gamma 90.00
_symmetry_space_group_name_H-M 'P 1'
_symmetry_Int_Tables_number 1
_symmetry_space_group_name_Hall 'P 1'
loop_
_atom_site_label
_atom_site_fract_x
_atom_site_fract_y
_atom_site_fract_z
_atom_site_occupancy
Rh1 0.000 0.500 0.500 1
Tc1 0.000 0.000 0.000 1
Tc2 0.500 0.500 0.000 1
W1 0.500 0.000 0.500 1
# **VASP energy**: -10.3177 eV/atom
# **Excess energy over the best structure of this formula in the dataset**: 0 meV/atom
# **Formation energy from the elements**: -0.0586 eV per atom
# **Fermi-level density of states**: 3.66 states/eV/cell
# **Space group**: P4/mmm